(one)
# Na2In2Pb5, relaxed, DFT PBE
data_Na2In2Pb5
_chemical_formula_sum 'Na4 In4 Pb10'
_cell_length_a 11.924
_cell_length_b 5.791
_cell_length_c 8.903
_cell_angle_alpha 90.00
_cell_angle_beta 113.37
_cell_angle_gamma 90.00
_symmetry_space_group_name_H-M 'C 1 2/m 1'
_symmetry_Int_Tables_number 12
_symmetry_space_group_name_Hall '-C 2y'
loop_
_atom_site_label
_atom_site_type_symbol
_atom_site_fract_x
_atom_site_fract_y
_atom_site_fract_z
_atom_site_occupancy
Na1 Na 0.228 0.000 0.391 1
In1 In 0.200 0.500 0.915 1
Pb1 Pb 0.000 0.000 0.000 1
Pb2 Pb 0.085 0.500 0.207 1
Pb3 Pb 0.103 0.000 0.699 1
# Magnetic moment (μB/f.u.): 0.0
# Fermi-level density of states (states/eV per cell): 8.04

***

(two)
# Na2In2Pb5, relaxed, DFT PBE
data_Na2In2Pb5
_chemical_formula_sum 'Na8 In8 Pb20'
_cell_length_a 15.395
_cell_length_b 8.910
_cell_length_c 8.216
_cell_angle_alpha 90.00
_cell_angle_beta 90.00
_cell_angle_gamma 90.00
_symmetry_space_group_name_H-M 'I m a 2'
_symmetry_Int_Tables_number 46
_symmetry_space_group_name_Hall 'I 2 -2a'
loop_
_atom_site_label
_atom_site_type_symbol
_atom_site_fract_x
_atom_site_fract_y
_atom_site_fract_z
_atom_site_occupancy
Na1 Na 0.000 0.000 0.000 1
Na2 Na 0.250 0.022 0.071 1
In1 In 0.088 0.069 0.374 1
Pb1 Pb 0.087 0.717 0.207 1
Pb2 Pb 0.146 0.135 0.719 1
Pb3 Pb 0.250 0.646 0.950 1
# Magnetic moment (μB/f.u.): 0.0
# Fermi-level density of states (states/eV per cell): 19.36

***

Stability, lowest: (two)

***

(one)
# Na8In6Pb, relaxed, DFT PBE
data_Na8In6Pb
_chemical_formula_sum 'Na24 In18 Pb3'
_cell_length_a 9.1012
_cell_length_b 9.1012
_cell_length_c 19.8520
_cell_angle_alpha 90.00
_cell_angle_beta 90.00
_cell_angle_gamma 120.00
_symmetry_space_group_name_H-M 'R -3'
_symmetry_Int_Tables_number 148
_symmetry_space_group_name_Hall '-R 3'
loop_
_atom_site_label
_atom_site_type_symbol
_atom_site_fract_x
_atom_site_fract_y
_atom_site_fract_z
_atom_site_occupancy
Na1 Na 0.0000 0.0000 0.1614 1
Na2 Na 0.0049 0.3201 0.6214 1
In1 In 0.0014 0.3288 0.7904 1
Pb1 Pb 0.0000 0.0000 0.5000 1
# Magnetic moment (μB/f.u.): 0.0
# Fermi-level density of states (states/eV per cell): 15.51

***

(two)
# Na8In6Pb, relaxed, DFT PBE
data_Na8In6Pb
_chemical_formula_sum 'Na24 In18 Pb3'
_cell_length_a 8.3991
_cell_length_b 8.3991
_cell_length_c 20.9455
_cell_angle_alpha 90.00
_cell_angle_beta 90.00
_cell_angle_gamma 120.00
_symmetry_space_group_name_H-M 'R -3'
_symmetry_Int_Tables_number 148
_symmetry_space_group_name_Hall '-R 3'
loop_
_atom_site_label
_atom_site_type_symbol
_atom_site_fract_x
_atom_site_fract_y
_atom_site_fract_z
_atom_site_occupancy
Na1 Na 0.0000 0.0000 0.0864 1
Na2 Na 0.0434 0.2610 0.6244 1
In1 In 0.0096 0.2289 0.7843 1
Pb1 Pb 0.0000 0.0000 0.5000 1
# Magnetic moment (μB/f.u.): 0.0
# Fermi-level density of states (states/eV per cell): 19.61

***

Stability, lowest: (one)

***

(one)
# Na3In2Pb3, relaxed, DFT PBE
data_Na3In2Pb3
_chemical_formula_sum 'Na12 In8 Pb12'
_cell_length_a 5.089
_cell_length_b 12.374
_cell_length_c 15.418
_cell_angle_alpha 90.00
_cell_angle_beta 90.00
_cell_angle_gamma 90.00
_symmetry_space_group_name_H-M 'C m c m'
_symmetry_Int_Tables_number 63
_symmetry_space_group_name_Hall '-C 2c 2'
loop_
_atom_site_label
_atom_site_type_symbol
_atom_site_fract_x
_atom_site_fract_y
_atom_site_fract_z
_atom_site_occupancy
Na1 Na 0.000 0.073 0.107 1
Na2 Na 0.000 0.296 0.250 1
In1 In 0.000 0.236 0.589 1
Pb1 Pb 0.000 0.394 0.750 1
Pb2 Pb 0.000 0.407 0.068 1
# Magnetic moment (μB/f.u.): 0.0
# Fermi-level density of states (states/eV per cell): 9.45

***

(two)
# Na3In2Pb3, relaxed, DFT PBE
data_Na3In2Pb3
_chemical_formula_sum 'Na6 In4 Pb6'
_cell_length_a 19.775
_cell_length_b 4.830
_cell_length_c 4.862
_cell_angle_alpha 90.00
_cell_angle_beta 104.13
_cell_angle_gamma 90.00
_symmetry_space_group_name_H-M 'C 1 2/m 1'
_symmetry_Int_Tables_number 12
_symmetry_space_group_name_Hall '-C 2y'
loop_
_atom_site_label
_atom_site_type_symbol
_atom_site_fract_x
_atom_site_fract_y
_atom_site_fract_z
_atom_site_occupancy
Na1 Na 0.000 0.000 0.000 1
Na2 Na 0.126 0.000 0.625 1
In1 In 0.247 0.000 0.247 1
Pb1 Pb 0.000 0.500 0.500 1
Pb2 Pb 0.128 0.500 0.126 1
# Magnetic moment (μB/f.u.): 0.0
# Fermi-level density of states (states/eV per cell): 7.71

***

Stability, lowest: (one)